A plane-wave DFT calculation with meta-GGA SCAN was carried out for a PBEsol-optimized structure of AsCl.

The final energy comes out at -13.846 eV/atom. The theoretical density comes out at 5021 kg/m³. Its density of states at the Fermi level is 0.45 states/eV per atom. Its formation energy (no corrections) is 0.2381 eV/atom.

The space group is R-3m (No. 166, hexagonal axes) and the conventional cell measures 4.6118, 4.6118 and 11.8905 Å, with angles of 90.00, 90.00 and 120.00 degrees. The inequivalent atoms are As at (0.0000, 0.0000, 0.1156) and Cl at (0.0000, 0.0000, 0.3802).


A plane-wave DFT calculation with meta-GGA SCAN was carried out for a PBEsol-optimized structure of BaSrLa2.

The final energy comes out at -36.808 eV/atom. The theoretical density comes out at 4944 kg/m³. Its density of states at the Fermi level is 1.46 states/eV per atom. The value obtained for the polymorph energy (0 for the lowest one) is 0.111 eV per atom. As for the formation enthalpy at 0 K: 0.201 eV/atom.

The space group is Pmmm (No. 47) and the conventional cell measures 4.159, 6.260 and 6.486 Å, with angles of 90.00, 90.00 and 90.00 degrees. The inequivalent atoms are Ba at (0.000, 0.000, 0.000), Sr at (0.500, 0.500, 0.000), La at (0.000, 0.500, 0.500) and La at (0.500, 0.000, 0.500).